(P)
## RbSI3 (GGA-PBE)

Data for an optimized crystal structure of RbSI3. Values from VASP.

Structure (Quantum ESPRESSO input):
```
&SYSTEM
  ibrav = 0, nat = 5, ntyp = 3
/
ATOMIC_SPECIES
S 32.06 S.upf
I 126.90 I.upf
Rb 85.47 Rb.upf
ATOMIC_POSITIONS crystal
S 0.5000 0.5000 0.5000
I 0.5000 0.0000 0.0000
I 0.0000 0.5000 0.0000
I 0.0000 0.0000 0.5000
Rb 0.0000 0.0000 0.0000
CELL_PARAMETERS angstrom
-4.3148 4.2578 3.5477
-0.3188 -4.6793 5.2283
5.5329 3.0508 3.0678
```

=====

(Q)
## RbSI3 (GGA-PBE)

Data for an optimized crystal structure of RbSI3. Values from VASP.

Structure (Quantum ESPRESSO input):
```
&SYSTEM
  ibrav = 0, nat = 5, ntyp = 3
/
ATOMIC_SPECIES
I 126.90 I.upf
Rb 85.47 Rb.upf
S 32.06 S.upf
ATOMIC_POSITIONS crystal
I 0.0000 0.0000 0.5000
I 0.0000 0.5000 0.0000
I 0.5000 0.0000 0.0000
Rb 0.5000 0.5000 0.5000
S 0.0000 0.0000 0.0000
CELL_PARAMETERS angstrom
-5.5294 -0.0826 1.5370
-1.2503 -3.1017 -4.6647
0.8977 -4.8286 2.9701
```

=====

Most stable: (Q) (next structure +907 meV per atom)